First-principles (PBEsol) data for a geometry-optimized Nb5Ge4 structure, as listed in Alexandria.

Computed properties:
ρ (g/cm3): 8.44
Uncorrected energy (eV per cell): -312.378
D(E_F) (states/eV/cell): 20.10

Unit cell a=6.6947 b=13.1000 c=6.7753 alpha=90.00 beta=90.00 gamma=90.00
Closest atoms and distances in Å follow each position.
Fractional coordinates of all 36 atoms:
Nb (0.0182, 0.0862, 0.1749)  7 Ge 2.69-2.93
Nb (0.0182, 0.4138, 0.1749)  7 Ge 2.69-2.93
Nb (0.1552, 0.6244, 0.3355)  6 Ge 2.54-2.75
Nb (0.1552, 0.8756, 0.3355)  6 Ge 2.54-2.75
Nb (0.1701, 0.2500, 0.5078)  6 Ge 2.55-2.77
Nb (0.3299, 0.7500, 0.0078)  6 Ge 2.55-2.77
Nb (0.3448, 0.1244, 0.8355)  6 Ge 2.54-2.75
Nb (0.3448, 0.3756, 0.8355)  6 Ge 2.54-2.75
Nb (0.4818, 0.5862, 0.6749)  7 Ge 2.69-2.93
Nb (0.4818, 0.9138, 0.6749)  7 Ge 2.69-2.93
Nb (0.5182, 0.0862, 0.3251)  7 Ge 2.69-2.93
Nb (0.5182, 0.4138, 0.3251)  7 Ge 2.69-2.93
Nb (0.6552, 0.6244, 0.1645)  6 Ge 2.54-2.75
Nb (0.6552, 0.8756, 0.1645)  6 Ge 2.54-2.75
Nb (0.6701, 0.2500, 0.9922)  6 Ge 2.55-2.77
Nb (0.8299, 0.7500, 0.4922)  6 Ge 2.55-2.77
Nb (0.8448, 0.1244, 0.6645)  6 Ge 2.54-2.75
Nb (0.8448, 0.3756, 0.6645)  6 Ge 2.54-2.75
Nb (0.9818, 0.5862, 0.8251)  7 Ge 2.69-2.93
Nb (0.9818, 0.9138, 0.8251)  7 Ge 2.69-2.93
Ge (0.0442, 0.2500, 0.8970)  1 Ge 2.55, 6 Nb 2.59-2.77
Ge (0.1833, 0.7500, 0.6602)  1 Ge 2.55, 6 Nb 2.55-2.77
Ge (0.1881, 0.0410, 0.5349)  7 Nb 2.54-2.76, 1 Ge 2.78
Ge (0.1881, 0.4590, 0.5349)  7 Nb 2.54-2.76, 1 Ge 2.78
Ge (0.3119, 0.5410, 0.0349)  7 Nb 2.54-2.76, 1 Ge 2.78
Ge (0.3119, 0.9590, 0.0349)  7 Nb 2.54-2.76, 1 Ge 2.78
Ge (0.3167, 0.2500, 0.1602)  1 Ge 2.55, 6 Nb 2.55-2.77
Ge (0.4558, 0.7500, 0.3970)  1 Ge 2.55, 6 Nb 2.59-2.77
Ge (0.5442, 0.2500, 0.6030)  1 Ge 2.55, 6 Nb 2.59-2.77
Ge (0.6833, 0.7500, 0.8398)  1 Ge 2.55, 6 Nb 2.55-2.77
Ge (0.6881, 0.0410, 0.9651)  7 Nb 2.54-2.76, 1 Ge 2.78
Ge (0.6881, 0.4590, 0.9651)  7 Nb 2.54-2.76, 1 Ge 2.78
Ge (0.8119, 0.5410, 0.4651)  7 Nb 2.54-2.76, 1 Ge 2.78
Ge (0.8119, 0.9590, 0.4651)  7 Nb 2.54-2.76, 1 Ge 2.78
Ge (0.8167, 0.2500, 0.3398)  1 Ge 2.55, 6 Nb 2.55-2.77
Ge (0.9558, 0.7500, 0.1030)  1 Ge 2.55, 6 Nb 2.59-2.77